Entry 1:
Compound: PuMgH
Source: Alexandria via LeMat-Bulk
Functional: GGA-PBE
Structure: relaxed

As for the crystal system: trigonal. The value obtained for the density of states at the Fermi level is 1.19 states/eV/atom. As for the spin magnetization: 0.18 μB/atom. The value obtained for the energy above the lowest structure with this stoichiometry is 0.126 eV/atom.

The space group is R-3m (No. 166, hexagonal axes) and the conventional cell measures 3.4350, 3.4350 and 27.3792 Å, with angles of 90.00, 90.00 and 120.00 degrees. The inequivalent atoms are Pu at (0.0000, 0.0000, 0.1434), Mg at (0.0000, 0.0000, 0.3799) and H at (0.0000, 0.0000, 0.2429).



Entry 2:
Compound: PuMgH2
Source: Alexandria via LeMat-Bulk
Functional: GGA-PBE
Structure: relaxed

As for the crystal system: trigonal. The value obtained for the density of states at the Fermi level is 1.48 states/eV/atom. As for the spin magnetization: 1.31 μB/atom. The value obtained for the total energy is -5.69 eV per atom.

The space group is R-3m (No. 166, hexagonal axes) and the conventional cell measures 3.1147, 3.1147 and 18.3186 Å, with angles of 90.00, 90.00 and 120.00 degrees. The inequivalent atoms are Pu at (0.0000, 0.0000, 0.0000), Mg at (0.0000, 0.0000, 0.5000) and H at (0.0000, 0.0000, 0.1199).